1.
A plane-wave DFT calculation with PBE-GGA was carried out for a geometry-optimized HgPt2Rh structure.

Cell and atoms, written as POSCAR:
```
HgPt2Rh
1.0
-3.9477 1.1540 2.7640
-1.3995 -0.8818 -4.6712
-0.3639 -2.7486 0.6279
Pt Rh Hg
2 1 1
direct
0.0000 0.5000 0.0000
0.5000 0.0000 0.0000
0.0000 0.0000 0.5000
0.5000 0.5000 0.5000
```

Computed properties:
Total energy = -4.8539 eV per atom
Space group = Cmmm (65)
Spin magnetization = 0.00 μB per atom
Formation energy = 0.080 eV per atom

2.
A plane-wave DFT calculation with PBE-GGA was carried out for a geometry-optimized GdLuFeCo structure.

Cell and atoms, written as POSCAR:
```
GdLuFeCo
1.0
-3.0235 3.5241 0.8227
-2.5461 0.0441 3.9690
0.9327 3.1698 3.3645
Fe Lu Gd Co
1 1 1 1
direct
0.7500 0.7500 0.7500
0.5000 0.5000 0.5000
0.0000 0.0000 0.0000
0.2500 0.2500 0.2500
```

Computed properties:
Total energy = -8.5356 eV per atom
Space group = F-43m (216)
Spin magnetization = 1.34 μB per atom
Formation energy = 0.007 eV per atom

3.
A plane-wave DFT calculation with PBE-GGA was carried out for a geometry-optimized SrLiAl2Au4 structure.

Cell and atoms, written as POSCAR:
```
SrLiAl2Au4
1.0
-1.2744 2.3974 3.5551
1.6729 -0.9321 4.0426
6.9493 6.3058 1.0532
Al Au Li Sr
2 4 1 1
direct
0.7651 0.7651 0.7046
0.2349 0.2349 0.2954
0.4058 0.4058 0.7826
0.8660 0.8660 0.4019
0.5942 0.5942 0.2174
0.1340 0.1340 0.5981
0.5000 0.5000 0.5000
0.0000 0.0000 0.0000
```

Computed properties:
Total energy = -3.6103 eV per atom
Space group = R-3m (166)
Spin magnetization = 0.00 μB per atom
Formation energy = -0.586 eV per atom

4.
A plane-wave DFT calculation with PBE-GGA was carried out for a geometry-optimized Ti2NbSnH structure.

Cell and atoms, written as POSCAR:
```
Ti2NbSnH
1.0
-0.3921 -3.9580 1.7962
2.1560 1.3888 3.5311
-3.3423 1.0668 1.6212
H Ti Nb Sn
1 2 1 1
direct
0.0000 0.0000 0.0000
0.5000 0.0000 0.0000
0.0000 0.5000 0.0000
0.0000 0.0000 0.5000
0.5000 0.5000 0.5000
```

Computed properties:
Total energy = -7.0167 eV per atom
Space group = P4/mmm (123)
Spin magnetization = 0.00 μB per atom

5.
A plane-wave DFT calculation with PBE-GGA was carried out for a geometry-optimized TbPr6Sm2Ho structure.

Cell and atoms, written as POSCAR:
```
TbPr6Sm2Ho
1.0
1.0240 9.5230 2.2022
-8.9807 0.0536 0.9892
5.0128 -2.8326 6.9630
Tb Ho Pr Sm
2 2 12 4
direct
0.2500 0.9761 0.0239
0.7500 0.0239 0.9761
0.2500 0.4097 0.5903
0.7500 0.5903 0.4097
0.1183 0.7066 0.4949
0.5539 0.7578 0.1179
0.0539 0.1179 0.7578
0.8817 0.2934 0.5051
0.6894 0.0110 0.5684
0.1894 0.5684 0.0110
0.6183 0.4949 0.7066
0.3106 0.9890 0.4316
0.3817 0.5051 0.2934
0.9461 0.8821 0.2422
0.4461 0.2422 0.8821
0.8106 0.4316 0.9890
0.0443 0.2955 0.1975
0.5443 0.1975 0.2955
0.4557 0.8025 0.7045
0.9557 0.7045 0.8025
```

Computed properties:
Total energy = -4.6189 eV per atom
Space group = C2/c (15)
Spin magnetization = 0.00 μB per atom
Formation energy = 0.113 eV per atom

6.
A plane-wave DFT calculation with PBE-GGA was carried out for a geometry-optimized Ag2PHSe4 structure.

Cell and atoms, written as POSCAR:
```
Ag2PHSe4
1.0
-1.3789 2.5952 5.0589
-1.5750 -5.0709 2.7480
6.5786 0.5546 -2.3561
P Se H Ag
1 4 1 2
direct
0.7664 0.7370 0.4894
0.3947 0.8041 0.2273
0.6326 0.6022 0.6883
0.0673 0.0972 0.7771
0.9067 0.4248 0.2543
0.9090 0.5810 0.8484
0.1550 0.1293 0.4542
0.5554 0.0114 0.0352
```

Computed properties:
Total energy = -3.6179 eV per atom
Space group = P1 (1)
Spin magnetization = 0.00 μB per atom

7.
A plane-wave DFT calculation with PBE-GGA was carried out for a geometry-optimized RbTaGeTe2 structure.

Cell and atoms, written as POSCAR:
```
RbTaGeTe2
1.0
6.1496 0.0000 0.0000
0.0000 5.3831 0.0000
0.0000 0.0000 6.1496
Te Rb Ge Ta
2 1 1 1
direct
0.5000 0.0000 0.0000
0.0000 0.0000 0.5000
0.0000 0.0000 0.0000
0.5000 0.5000 0.5000
0.0000 0.5000 0.0000
```

Computed properties:
Total energy = -2.5981 eV per atom
Space group = P4/mmm (123)
Spin magnetization = 0.67 μB per atom

8.
A plane-wave DFT calculation with PBE-GGA was carried out for a geometry-optimized CaTiGaMo2 structure.

Cell and atoms, written as POSCAR:
```
CaTiGaMo2
1.0
-0.9919 1.3542 -4.4238
-4.8830 -0.0414 1.0822
0.2564 4.5335 1.3302
Ca Mo Ti Ga
1 2 1 1
direct
0.0000 0.5000 0.0000
0.0000 0.0000 0.5000
0.5000 0.0000 0.0000
0.5000 0.5000 0.5000
0.0000 0.0000 0.0000
```

Computed properties:
Total energy = -5.6311 eV per atom
Space group = P4/mmm (123)
Spin magnetization = 0.00 μB per atom
Formation energy = 1.286 eV per atom

9.
A plane-wave DFT calculation with PBE-GGA was carried out for a geometry-optimized CaEr2GaPd4 structure.

Cell and atoms, written as POSCAR:
```
CaEr2GaPd4
1.0
-0.4524 3.9823 2.6424
-4.2667 1.1740 1.8610
0.1439 -2.4381 8.0598
Pd Ga Er Ca
4 1 2 1
direct
0.6113 0.6113 0.1662
0.3887 0.3887 0.8338
0.8731 0.8731 0.3808
0.1269 0.1269 0.6192
0.5000 0.5000 0.5000
0.7561 0.7561 0.7317
0.2439 0.2439 0.2683
0.0000 0.0000 0.0000
```

Computed properties:
Total energy = -5.1453 eV per atom
Space group = R-3m (166)
Spin magnetization = 0.00 μB per atom
Formation energy = -0.780 eV per atom

10.
A plane-wave DFT calculation with PBE-GGA was carried out for a geometry-optimized KDyMgBr6 structure.

Cell and atoms, written as POSCAR:
```
KDyMgBr6
1.0
7.1614 0.0000 0.0000
-3.5807 6.2020 0.0000
0.0000 0.0000 14.5913
Br Dy K Mg
12 2 2 2
direct
0.9891 0.6231 0.8586
0.3769 0.0109 0.6414
0.6231 0.9891 0.3586
0.6340 0.6231 0.6414
0.3660 0.9891 0.1414
0.0109 0.6340 0.3586
0.3660 0.3769 0.3586
0.6231 0.6340 0.1414
0.3769 0.3660 0.8586
0.6340 0.0109 0.8586
0.0109 0.3769 0.1414
0.9891 0.3660 0.6414
0.3333 0.6667 0.7500
0.6667 0.3333 0.2500
0.0000 0.0000 0.5000
0.0000 0.0000 0.0000
0.6667 0.3333 0.7500
0.3333 0.6667 0.2500
```

Computed properties:
Total energy = -3.6556 eV per atom
Space group = P-31c (163)
Spin magnetization = 0.00 μB per atom

11.
A plane-wave DFT calculation with PBE-GGA was carried out for a geometry-optimized SiWSe structure.

Cell and atoms, written as POSCAR:
```
SiWSe
1.0
-3.7720 -1.2621 1.7822
3.7747 -1.0960 1.8834
-0.0770 2.5116 1.6158
W Si Se
1 1 1
direct
0.6667 0.3333 0.8331
0.3333 0.6667 0.3338
0.0000 0.0000 0.8331
```

Computed properties:
Total energy = -6.8433 eV per atom
Relative energy among the computed polymorphs = 0.97 eV per formula unit
Space group = P-6m2 (187)
Spin magnetization = 0.00 μB per atom

12.
A plane-wave DFT calculation with PBE-GGA was carried out for a geometry-optimized Y2ThH structure.

Cell and atoms, written as POSCAR:
```
Y2ThH
1.0
3.4641 0.0000 0.0000
1.7320 3.0000 0.0000
1.7320 1.0000 9.5224
Th Y H
1 2 1
direct
0.0000 0.0000 0.0000
0.8811 0.8811 0.3567
0.1189 0.1189 0.6433
0.5000 0.5000 0.5000
```

Computed properties:
Total energy = -5.9281 eV per atom
Relative energy among the computed polymorphs = 0.00 eV per formula unit
Space group = R-3m (166)
Spin magnetization = 0.00 μB per atom

13.
A plane-wave DFT calculation with PBE-GGA was carried out for a geometry-optimized Sc2MnMo structure.

Cell and atoms, written as POSCAR:
```
Sc2MnMo
1.0
9.1450 -0.0129 -0.0076
8.6308 3.0233 -0.0076
8.6308 1.4617 2.6465
Sc Mo Mn
2 1 1
direct
0.2345 0.2345 0.2345
0.0106 0.0106 0.0106
0.7635 0.7635 0.7635
0.4915 0.4915 0.4915
```

Computed properties:
Total energy = -7.8848 eV per atom
Relative energy among the computed polymorphs = 1.04 eV per formula unit
Space group = R3m (160)
Spin magnetization = 0.00 μB per atom
Formation energy = 0.281 eV per atom

14.
A plane-wave DFT calculation with PBE-GGA was carried out for a geometry-optimized La2Mn2Cl structure.

Cell and atoms, written as POSCAR:
```
La2Mn2Cl
1.0
-2.8245 2.8245 3.6229
2.8245 -2.8245 3.6229
2.8245 2.8245 -3.6229
La Cl Mn
2 1 2
direct
0.2500 0.7500 0.5000
0.7500 0.2500 0.5000
0.0000 0.0000 0.0000
0.6661 0.6661 0.0000
0.3339 0.3339 0.0000
```

Computed properties:
Total energy = -5.8422 eV per atom
Space group = I4/mmm (139)
Spin magnetization = 0.81 μB per atom

15.
A plane-wave DFT calculation with PBE-GGA was carried out for a geometry-optimized CuSn2Ge2 structure.

Cell and atoms, written as POSCAR:
```
CuSn2Ge2
1.0
-3.5393 -0.1172 0.7565
0.7105 -1.8356 3.0395
-0.7483 6.3098 6.1426
Sn Ge Cu
2 2 1
direct
0.4067 0.4067 0.1866
0.5933 0.5933 0.8134
0.7500 0.2500 0.5000
0.2500 0.7500 0.5000
0.0000 0.0000 0.0000
```

Computed properties:
Total energy = -3.9848 eV per atom
Relative energy among the computed polymorphs = 0.54 eV per formula unit
Space group = I4/mmm (139)
Spin magnetization = 0.00 μB per atom
Formation energy = 0.283 eV per atom

16.
A plane-wave DFT calculation with PBE-GGA was carried out for a geometry-optimized GdYCoHg structure.

Cell and atoms, written as POSCAR:
```
GdYCoHg
1.0
5.0667 0.0000 0.0000
2.5334 4.3879 0.0000
2.5334 1.4626 4.1370
Y Co Hg Gd
1 1 1 1
direct
0.7500 0.7500 0.7500
0.0000 0.0000 0.0000
0.5000 0.5000 0.5000
0.2500 0.2500 0.2500
```

Computed properties:
Total energy = -7.2074 eV per atom
Space group = F-43m (216)
Spin magnetization = 1.62 μB per atom
Formation energy = -0.219 eV per atom

17.
A plane-wave DFT calculation with PBE-GGA was carried out for a geometry-optimized Mg3SbN structure.

Cell and atoms, written as POSCAR:
```
Mg3SbN
1.0
-1.5247 -7.2577 -3.4481
-5.1396 -0.5159 -6.3409
2.8786 -1.6628 -7.4724
Mg N Sb
12 4 4
direct
0.8070 0.8070 0.1930
0.4430 0.0570 0.0570
0.1930 0.8070 0.8070
0.1930 0.1930 0.8070
0.8070 0.1930 0.8070
0.0570 0.4430 0.4430
0.0570 0.4430 0.0570
0.4430 0.0570 0.4430
0.4430 0.4430 0.0570
0.0570 0.0570 0.4430
0.1930 0.8070 0.1930
0.8070 0.1930 0.1930
0.1250 0.1250 0.6250
0.1250 0.6250 0.1250
0.1250 0.1250 0.1250
0.6250 0.1250 0.1250
0.1250 0.6250 0.6250
0.6250 0.6250 0.1250
0.6250 0.6250 0.6250
0.6250 0.1250 0.6250
```

Computed properties:
Total energy = -3.7414 eV per atom
Space group = Fd-3m (227)
Spin magnetization = 0.00 μB per atom

18.
A plane-wave DFT calculation with PBE-GGA was carried out for a geometry-optimized Th4NiOs2S structure.

Cell and atoms, written as POSCAR:
```
Th4NiOs2S
1.0
4.1149 0.0000 0.0000
0.0000 7.2170 0.1150
0.0000 -2.5350 6.6743
Ni Th Os S
1 4 2 1
direct
0.5000 0.5000 0.0000
0.0000 0.2512 0.7388
0.5000 0.2585 0.2681
0.5000 0.7415 0.7319
0.0000 0.7488 0.2612
0.0000 0.5000 0.5000
0.5000 0.0000 0.5000
0.0000 0.0000 0.0000
```

Computed properties:
Total energy = -8.4167 eV per atom
Space group = P2/m (10)
Spin magnetization = 0.00 μB per atom

19.
A plane-wave DFT calculation with PBE-GGA was carried out for a geometry-optimized Tc2HgRu structure.

Cell and atoms, written as POSCAR:
```
Tc2HgRu
1.0
3.9158 0.0000 0.0000
0.0000 2.8124 0.0023
0.0000 2.8010 5.8188
Tc Hg Ru
2 1 1
direct
0.5000 0.2880 0.2098
0.0000 0.9968 0.0050
0.0000 0.4970 0.5029
0.5000 0.7181 0.7823
```

Computed properties:
Total energy = -7.1945 eV per atom
Space group = Pm (6)
Spin magnetization = 0.00 μB per atom
Formation energy = 0.383 eV per atom

20.
A plane-wave DFT calculation with PBE-GGA was carried out for a geometry-optimized CdAu2I8 structure.

Cell and atoms, written as POSCAR:
```
CdAu2I8
1.0
-0.1489 7.0279 5.3487
-3.7759 -6.8013 1.5377
4.9531 -3.6452 4.9273
Cd I Au
1 8 2
direct
0.0000 0.0000 0.0000
0.6930 0.8150 0.7875
0.8780 0.1850 0.2125
0.1220 0.8150 0.7875
0.3070 0.1850 0.2125
0.4171 0.8342 0.2622
0.1999 0.3997 0.7002
0.8001 0.6003 0.2998
0.5829 0.1658 0.7378
0.8080 0.6159 0.6403
0.1920 0.3841 0.3597
```

Computed properties:
Total energy = -1.8300 eV per atom
Relative energy among the computed polymorphs = 0.52 eV per formula unit
Space group = C2/m (12)
Spin magnetization = 0.00 μB per atom

21.
A plane-wave DFT calculation with PBE-GGA was carried out for a geometry-optimized BaLi3Zn structure.

Cell and atoms, written as POSCAR:
```
BaLi3Zn
1.0
5.9562 0.0001 -0.0002
-0.0002 7.2903 -0.0020
0.0003 -3.6472 6.3132
Ba Li Zn
2 6 2
direct
0.2500 0.3334 0.6667
0.7500 0.6666 0.3334
0.7500 0.1763 0.8236
0.7500 0.1763 0.3528
0.2500 0.8237 0.6472
0.2500 0.3528 0.1763
0.7500 0.6472 0.8237
0.2500 0.8237 0.1764
0.5000 0.0000 0.0000
0.0000 0.0000 0.0000
```

Computed properties:
Total energy = -1.7660 eV per atom
Relative energy among the computed polymorphs = 0.28 eV per formula unit
Space group = P6_3/mmc (194)
Spin magnetization = 0.00 μB per atom
Formation energy = 0.022 eV per atom

22.
A plane-wave DFT calculation with PBE-GGA was carried out for a geometry-optimized BaCrTe2 structure.

Cell and atoms, written as POSCAR:
```
BaCrTe2
1.0
8.0369 0.0023 0.0014
6.8238 4.2458 0.0014
6.8238 1.9507 3.7712
Ba Cr Te
1 1 2
direct
0.4994 0.4994 0.4994
0.6686 0.6686 0.6686
0.0621 0.0621 0.0621
0.2699 0.2699 0.2699
```

Computed properties:
Total energy = -5.1808 eV per atom
Space group = R3m (160)
Spin magnetization = 1.00 μB per atom

23.
A plane-wave DFT calculation with PBE-GGA was carried out for a geometry-optimized Ag2Sn4Pd structure.

Cell and atoms, written as POSCAR:
```
Ag2Sn4Pd
1.0
4.1373 0.0000 -1.4319
-0.6172 5.4941 -1.7833
0.0772 0.3539 6.9159
Ag Sn Pd
2 4 1
direct
0.2156 0.3358 0.4312
0.7844 0.6642 0.5688
0.5545 0.3045 0.1089
0.1705 0.8213 0.3409
0.8295 0.1787 0.6591
0.4455 0.6955 0.8911
0.0000 0.0000 0.0000
```

Computed properties:
Total energy = -3.9837 eV per atom
Space group = C2/m (12)
Spin magnetization = 0.00 μB per atom
Formation energy = -0.140 eV per atom

24.
A plane-wave DFT calculation with PBE-GGA was carried out for a geometry-optimized Ta7C5 structure.

Cell and atoms, written as POSCAR:
```
Ta7C5
1.0
7.1330 -0.6767 0.0000
-4.8372 5.2858 0.0000
-1.1479 -2.3046 6.6865
Ta C
7 5
direct
0.9794 0.4794 0.5000
0.3293 0.3293 0.0000
0.9640 0.7402 0.2239
0.7402 0.5163 0.7761
0.5163 0.7402 0.7761
0.7402 0.9640 0.2239
0.4794 0.9794 0.5000
0.6556 0.3565 0.0000
0.3565 0.3565 0.7010
0.9269 0.9269 0.0000
0.6556 0.6556 0.2990
0.3565 0.6556 0.0000
```

Computed properties:
Total energy = -9.6310 eV per atom
Space group = I4mm (107)
Spin magnetization = 0.00 μB per atom
Formation energy = 1.126 eV per atom

25.
A plane-wave DFT calculation with PBE-GGA was carried out for a geometry-optimized TaAl2Pt structure.

Cell and atoms, written as POSCAR:
```
TaAl2Pt
1.0
-4.7364 4.0185 6.6097
-6.7416 2.1060 5.6909
-4.7245 1.2852 7.6353
Al Ta Pt
2 1 1
direct
0.2467 0.2467 0.2467
0.9986 0.9986 0.9986
0.7515 0.7515 0.7515
0.5032 0.5032 0.5032
```

Computed properties:
Total energy = -6.6999 eV per atom
Space group = R3m (160)
Spin magnetization = 0.00 μB per atom
Formation energy = -0.355 eV per atom